# 1
Entry from Alexandria via LeMat-Bulk: a relaxed HfNpTe3 crystal (PBE).

Unit cell a=9.293 b=4.011 c=15.353 alpha=90.00 beta=90.00 gamma=90.00
Atoms (fractional coordinates):
Hf1 0.159 0.250 0.039
Hf2 0.341 0.750 0.539
Hf3 0.659 0.250 0.461
Hf4 0.841 0.750 0.961
Np1 0.149 0.750 0.303
Np2 0.351 0.250 0.803
Np3 0.649 0.750 0.197
Np4 0.851 0.250 0.697
Te1 0.016 0.250 0.875
Te2 0.152 0.750 0.692
Te3 0.158 0.250 0.463
Te4 0.342 0.750 0.963
Te5 0.348 0.250 0.192
Te6 0.484 0.750 0.375
Te7 0.516 0.250 0.625
Te8 0.652 0.750 0.808
Te9 0.658 0.250 0.037
Te10 0.842 0.750 0.537
Te11 0.848 0.250 0.308
Te12 0.984 0.750 0.125

Summary:
Energy relative to the elements, uncorrected = -0.672 eV/atom
DOS at the Fermi energy = 1.873 states/eV per atom
Total energy = -7.136 eV per atom


# 2
Entry from Alexandria via LeMat-Bulk: a relaxed TlCrSe3 crystal (PBE).

Unit cell a=6.140 b=6.140 c=7.762 alpha=104.84 beta=104.84 gamma=67.83
Atoms (fractional coordinates):
Tl1 0.131 0.131 0.374
Tl2 0.869 0.869 0.626
Cr1 0.355 0.355 0.003
Cr2 0.645 0.645 0.997
Se1 0.051 0.582 0.196
Se2 0.418 0.949 0.804
Se3 0.435 0.435 0.754
Se4 0.565 0.565 0.246
Se5 0.582 0.051 0.196
Se6 0.949 0.418 0.804

Summary:
Energy relative to the elements, uncorrected = -0.251 eV/atom
Polymorph energy (0 for the lowest one) = 0.0 kJ/mol of formula units
DOS at the Fermi energy = 0.379 states/eV per atom
Total energy = -4.739 eV per atom